Below is a relaxed structure of KPaP2N6, with properties calculated at the PBE level.

Cell: 9.3759 11.3218 4.8251 Å, 90.00 91.03 90.00°
Last column: nearest neighbours and their distance in Å.
Space group C2/c (No. 15)
Inequivalent atoms, fractional coordinates:
K  0.0000  0.0776  0.2500 [4 per cell]  8 N 2.80-2.93, 2 K 2.98
Pa  0.0000  0.2780  0.7500 [4 per cell]  2 N 2.17
P  0.1956  0.4248  0.3134 [8 per cell]  4 N 1.60-1.69
N  0.0767  0.3179  0.2284 [8 per cell]  1 N 1.46
N  0.1530  0.1344  0.7436 [8 per cell]  1 P 1.60
N  0.1619  0.4490  0.6457 [8 per cell]  2 P 1.66-1.67

Output
**E_form (uncorrected)**: -0.652 eV/atom
**Total DFT energy (no corrections)**: -7.788 eV/atom